(1)
KPtN2 | Alexandria | GGA-PBE | optimized geometry; total magnetization = 0.00 μB per cell; crystal system = cubic; ΔE to the lowest computed polymorph = 866 meV/atom; uncorrected formation energy = 165 kJ per mole of atoms
1.0
0.0000 2.9160 2.9160
2.9160 0.0000 2.9160
2.9160 2.9160 0.0000
K Pt N
1 1 2
direct
0.0000 0.0000 0.0000
0.5000 0.5000 0.5000
0.2500 0.2500 0.2500
0.7500 0.7500 0.7500


(2)
KPtN3 | Alexandria | GGA-PBE | optimized geometry; total magnetization = 0.80 μB per cell; crystal system = cubic; uncorrected formation energy = 368 kJ per mole of atoms
1.0
4.1290 0.0000 0.0000
0.0000 4.1290 0.0000
0.0000 0.0000 4.1290
K Pt N
1 1 3
direct
0.0000 0.0000 0.0000
0.5000 0.5000 0.5000
0.0000 0.0000 0.5000
0.0000 0.5000 0.0000
0.5000 0.0000 0.0000


(3)
KPtN3 | Alexandria | GGA-PBE | optimized geometry; total magnetization = 0.00 μB per cell; crystal system = cubic; uncorrected formation energy = 151 kJ per mole of atoms
1.0
4.0128 0.0000 0.0000
0.0000 4.0128 0.0000
0.0000 0.0000 4.0128
K Pt N
1 1 3
direct
0.0000 0.0000 0.0000
0.5000 0.5000 0.5000
0.0000 0.5000 0.5000
0.5000 0.0000 0.5000
0.5000 0.5000 0.0000


(4)
KPt3N | Alexandria | GGA-PBE | optimized geometry; total magnetization = 0.00 μB per cell; crystal system = cubic; ΔE to the lowest computed polymorph = 0 meV/atom; uncorrected formation energy = 56 kJ per mole of atoms
1.0
4.3427 0.0000 0.0000
0.0000 4.3427 0.0000
0.0000 0.0000 4.3427
K Pt N
1 3 1
direct
0.0000 0.0000 0.0000
0.0000 0.5000 0.5000
0.5000 0.0000 0.5000
0.5000 0.5000 0.0000
0.5000 0.5000 0.5000


(5)
KPt2N | Alexandria | GGA-PBE | optimized geometry; total magnetization = 0.00 μB per cell; crystal system = tetragonal; uncorrected formation energy = 5 kJ per mole of atoms
1.0
-2.7342 2.7342 5.8538
2.7342 -2.7342 5.8538
2.7342 2.7342 -5.8538
K Pt N
2 4 2
direct
0.3750 0.6250 0.7500
0.6250 0.3750 0.2500
0.0000 0.0000 0.0000
0.0000 0.0000 0.5000
0.0000 0.5000 0.0000
0.5000 0.0000 0.5000
0.1250 0.8750 0.2500
0.8750 0.1250 0.7500


(6)
KSc2PtN | Alexandria | GGA-PBE | optimized geometry; total magnetization = 0.00 μB per cell; crystal system = tetragonal; uncorrected formation energy = 86 kJ per mole of atoms
1.0
5.0146 0.0000 0.0000
0.0000 5.0146 0.0000
0.0000 0.0000 5.7689
K Sc Pt N
1 2 1 1
direct
0.0000 0.0000 0.0000
0.0000 0.5000 0.5000
0.5000 0.0000 0.5000
0.0000 0.0000 0.5000
0.5000 0.5000 0.0000


(7)
KTePtN2 | Alexandria | GGA-PBE | optimized geometry; total magnetization = 5.99 μB per cell; crystal system = tetragonal; ΔE to the lowest computed polymorph = 1313 meV/atom; uncorrected formation energy = 234 kJ per mole of atoms
1.0
4.5659 0.0000 0.0000
0.0000 4.5659 0.0000
0.0000 0.0000 6.9138
K Te Pt N
1 1 1 2
direct
0.0000 0.0000 0.0000
0.0000 0.0000 0.5000
0.5000 0.5000 0.5000
0.0000 0.5000 0.0000
0.5000 0.0000 0.0000


(8)
KTePtN2 | Alexandria | GGA-PBE | optimized geometry; total magnetization = 3.62 μB per cell; crystal system = tetragonal; ΔE to the lowest computed polymorph = 0 meV/atom; uncorrected formation energy = 107 kJ per mole of atoms
1.0
4.2771 0.0000 0.0000
0.0000 4.2771 0.0000
0.0000 0.0000 5.6868
K Te Pt N
1 1 1 2
direct
0.0000 0.0000 0.0000
0.5000 0.5000 0.0000
0.5000 0.5000 0.5000
0.0000 0.5000 0.5000
0.5000 0.0000 0.5000


(9)
KPuN2 | Alexandria | GGA-PBE | optimized geometry; total magnetization = 3.00 μB per cell; crystal system = trigonal; ΔE to the lowest computed polymorph = 34 meV/atom; uncorrected formation energy = -69 kJ per mole of atoms
1.0
1.7520 1.0115 6.4448
-1.7520 1.0115 6.4448
0.0000 -2.0230 6.4448
K Pu N
1 1 2
direct
0.0000 0.0000 0.0000
0.8295 0.8295 0.8295
0.2142 0.2142 0.2142
0.4433 0.4433 0.4433


(10)
KPuN2 | Alexandria | GGA-PBE | optimized geometry; total magnetization = 3.00 μB per cell; crystal system = trigonal; ΔE to the lowest computed polymorph = 0 meV/atom; uncorrected formation energy = -72 kJ per mole of atoms
1.0
1.7569 1.0144 6.3478
-1.7569 1.0144 6.3478
0.0000 -2.0287 6.3478
K Pu N
1 1 2
direct
0.0000 0.0000 0.0000
0.5000 0.5000 0.5000
0.2192 0.2192 0.2192
0.7808 0.7808 0.7808


(11)
K2PuRe2N6 | Alexandria | GGA-PBE | optimized geometry; total magnetization = 4.00 μB per cell; crystal system = trigonal; uncorrected formation energy = -37 kJ per mole of atoms
1.0
3.1066 1.7936 6.2318
-3.1066 1.7936 6.2318
0.0000 -3.5872 6.2318
K Pu Re N
2 1 2 6
direct
0.2254 0.2254 0.2254
0.7746 0.7746 0.7746
0.0000 0.0000 0.0000
0.4286 0.4286 0.4286
0.5714 0.5714 0.5714
0.2429 0.2429 0.7274
0.2429 0.7274 0.2429
0.2726 0.7571 0.7571
0.7274 0.2429 0.2429
0.7571 0.2726 0.7571
0.7571 0.7571 0.2726


(12)
K2PuReN4 | Alexandria | GGA-PBE | optimized geometry; total magnetization = 10.00 μB per cell; crystal system = orthorhombic; uncorrected formation energy = -44 kJ per mole of atoms
1.0
7.2335 0.0000 0.0000
0.0000 7.2371 0.0000
0.0000 0.0000 6.2038
K Pu Re N
4 2 2 8
direct
0.2489 0.1769 0.0000
0.2511 0.8231 0.5000
0.7489 0.8231 0.5000
0.7511 0.1769 0.0000
0.0000 0.6542 0.9884
0.5000 0.3458 0.4884
0.0000 0.3435 0.4819
0.5000 0.6565 0.9819
0.0000 0.4097 0.1975
0.0000 0.5523 0.6523
0.2147 0.2099 0.5306
0.2853 0.7901 0.0306
0.5000 0.4477 0.1523
0.5000 0.5903 0.6975
0.7147 0.7901 0.0306
0.7853 0.2099 0.5306


no.,Fermi-level density of states (states/eV/f.u.)
1,1.9
2,5.4
3,5.9
4,3.9
5,1.9
6,5.5
7,5.3
8,2.4
9,6.1
10,6.2
11,7.0
12,8.0